No. 1
## Na2TaMn2Se6 (PBE-GGA)

Data for Na2TaMn2Se6 after structural relaxation.

Cell lengths 6.4842, 6.4842, 7.4832 Å; angles 99.32, 99.32, 118.09 degrees
Fractional coordinates of all 11 atoms:
1 Se 0.6048 0.9339 0.2887
2 Se 0.7351 0.7351 0.6988
3 Se 0.0661 0.3952 0.7113
4 Se 0.3952 0.0661 0.7113
5 Se 0.9339 0.6048 0.2887
6 Se 0.2649 0.2649 0.3012
7 Mn 0.3291 0.6709 0.5000
8 Mn 0.6709 0.3291 0.5000
9 Ta 0.0000 0.0000 0.5000
10 Na 0.1660 0.8340 0.0000
11 Na 0.8340 0.1660 0.0000

Calculated values
Formation energy without anion corrections: -0.72 eV per atom

No. 2
## Zr3Fe5 (PBE-GGA)

Data for Zr3Fe5 after structural relaxation.

Cell lengths 5.3687, 5.3687, 4.3610 Å; angles 90.00, 90.00, 108.61 degrees
Fractional coordinates of all 8 atoms:
1 Fe 0.0000 0.5000 0.0000
2 Fe 0.5000 0.0000 0.0000
3 Fe 0.7483 0.7483 0.5000
4 Fe 0.2517 0.2517 0.5000
5 Fe 0.0000 0.0000 0.0000
6 Zr 0.5000 0.5000 0.0000
7 Zr 0.2354 0.7646 0.5000
8 Zr 0.7646 0.2354 0.5000

Calculated values
Formation energy from the elements: -0.063 eV/atom

No. 3
## La3Rh (PBE-GGA)

Data for La3Rh after structural relaxation.

Cell lengths 9.9925, 4.0032, 4.0032 Å; angles 60.00, 101.56, 101.56 degrees
Fractional coordinates of all 4 atoms:
1 La 0.7500 0.2500 0.2500
2 La 0.0768 0.0256 0.0256
3 La 0.4232 0.4744 0.4744
4 Rh 0.2500 0.7500 0.7500

Calculated values
Formation energy from the elements: -0.355 eV/atom

No. 4
## Tb2Pm3Sm3 (PBE-GGA)

Data for Tb2Pm3Sm3 after structural relaxation.

Cell lengths 5.8110, 6.0597, 8.7445 Å; angles 110.11, 109.41, 90.00 degrees
Fractional coordinates of all 8 atoms:
1 Tb 0.2500 0.3177 0.5000
2 Tb 0.7500 0.6823 0.5000
3 Pm 0.8662 0.3093 0.7323
4 Pm 0.1338 0.6907 0.2677
5 Pm 0.0000 0.0000 0.0000
6 Sm 0.3668 0.9215 0.7335
7 Sm 0.5000 0.5000 0.0000
8 Sm 0.6332 0.0785 0.2665

Calculated values
Energy above the most stable polymorph in this dataset: 53 meV per atom
Formation energy from the elements: 0.081 eV/atom

Copy entry 1 word for word.
## Na2TaMn2Se6 (PBE-GGA)

Data for Na2TaMn2Se6 after structural relaxation.

Cell lengths 6.4842, 6.4842, 7.4832 Å; angles 99.32, 99.32, 118.09 degrees
Fractional coordinates of all 11 atoms:
1 Se 0.6048 0.9339 0.2887
2 Se 0.7351 0.7351 0.6988
3 Se 0.0661 0.3952 0.7113
4 Se 0.3952 0.0661 0.7113
5 Se 0.9339 0.6048 0.2887
6 Se 0.2649 0.2649 0.3012
7 Mn 0.3291 0.6709 0.5000
8 Mn 0.6709 0.3291 0.5000
9 Ta 0.0000 0.0000 0.5000
10 Na 0.1660 0.8340 0.0000
11 Na 0.8340 0.1660 0.0000

Calculated values
Formation energy without anion corrections: -0.72 eV per atom